<A>
{
  "formula": "MnZnRe",
  "functional": "PBE",
  "state": "optimized geometry",
  "lattice_angstrom": [[-1.307, 1.963, 3.942], [1.307, -1.963, 3.942], [1.307, 1.963, -3.942]],
  "species": ["Mn", "Zn", "Re"],
  "frac_coords": [[0.000, 0.000, 0.000], [0.334, 0.334, 0.000], [0.665, 0.665, 0.000]],
  "density_g_cm3": 12.6
}


<B>
{
  "formula": "MnZnRe",
  "functional": "PBE",
  "state": "optimized geometry",
  "lattice_angstrom": [[4.212, 0.000, 0.000], [-2.106, 3.648, 0.000], [0.000, 0.000, 2.622]],
  "species": ["Mn", "Zn", "Re"],
  "frac_coords": [[0.000, 0.000, 0.000], [0.333, 0.667, 0.704], [0.667, 0.333, 0.264]],
  "density_g_cm3": 12.6
}


<C>
{
  "formula": "MnZnRe",
  "functional": "PBE",
  "state": "optimized geometry",
  "lattice_angstrom": [[-1.463, 1.463, 4.667], [1.463, -1.463, 4.667], [1.463, 1.463, -4.667]],
  "species": ["Mn", "Zn", "Re"],
  "frac_coords": [[0.000, 0.000, 0.000], [0.668, 0.668, 0.000], [0.358, 0.358, 0.000]],
  "density_g_cm3": 12.7
}


Least stable structure: <A>


<A>
{
  "formula": "ZrMn3Re",
  "functional": "PBE",
  "state": "optimized geometry",
  "lattice_angstrom": [[4.357, 0.000, 0.000], [0.000, 4.357, 0.000], [0.000, 0.000, 4.357]],
  "species": ["Zr", "Mn", "Mn", "Mn", "Re"],
  "frac_coords": [[0.000, 0.000, 0.000], [0.000, 0.000, 0.500], [0.000, 0.500, 0.000], [0.500, 0.000, 0.000], [0.500, 0.500, 0.500]],
  "density_g_cm3": 8.9
}


<B>
{
  "formula": "ZrMn3Re",
  "functional": "PBE",
  "state": "optimized geometry",
  "lattice_angstrom": [[4.549, 0.000, 0.000], [0.000, 4.549, 0.000], [0.000, 0.000, 4.549]],
  "species": ["Zr", "Mn", "Mn", "Mn", "Re"],
  "frac_coords": [[0.000, 0.000, 0.000], [0.000, 0.500, 0.500], [0.500, 0.000, 0.500], [0.500, 0.500, 0.000], [0.500, 0.500, 0.500]],
  "density_g_cm3": 7.8
}


Least stable structure: <A>


<A>
{
  "formula": "Mn2Rh3",
  "functional": "PBE",
  "state": "optimized geometry",
  "lattice_angstrom": [[1.388, 0.801, 10.464], [-1.388, 0.801, 10.464], [0.000, -1.603, 10.464]],
  "species": ["Mn", "Mn", "Rh", "Rh", "Rh"],
  "frac_coords": [[0.101, 0.101, 0.101], [0.899, 0.899, 0.899], [0.297, 0.297, 0.297], [0.500, 0.500, 0.500], [0.703, 0.703, 0.703]],
  "density_g_cm3": 10.0
}


<B>
{
  "formula": "Mn2Rh3",
  "functional": "PBE",
  "state": "optimized geometry",
  "lattice_angstrom": [[4.114, 0.000, 0.000], [-2.057, 3.562, 0.000], [0.000, 0.000, 5.106]],
  "species": ["Mn", "Mn", "Rh", "Rh", "Rh"],
  "frac_coords": [[0.333, 0.667, 0.327], [0.667, 0.333, 0.673], [0.000, 0.000, 0.500], [0.333, 0.667, 0.842], [0.667, 0.333, 0.158]],
  "density_g_cm3": 9.3
}


<C>
{
  "formula": "Mn2Rh3",
  "functional": "PBE",
  "state": "optimized geometry",
  "lattice_angstrom": [[0.000, 6.393, 2.427], [4.530, 0.000, 2.427], [4.530, 6.393, 0.000]],
  "species": ["Mn", "Mn", "Mn", "Mn", "Rh", "Rh", "Rh", "Rh", "Rh", "Rh"],
  "frac_coords": [[0.020, 0.480, 0.079], [0.171, 0.829, 0.230], [0.480, 0.020, 0.421], [0.829, 0.171, 0.770], [0.057, 0.057, 0.943], [0.307, 0.307, 0.193], [0.486, 0.589, 0.315], [0.589, 0.486, 0.611], [0.639, 0.935, 0.661], [0.935, 0.639, 0.764]],
  "density_g_cm3": 9.9
}


Least stable structure: <B>


<A>
{
  "formula": "MnRh2",
  "functional": "PBE",
  "state": "optimized geometry",
  "lattice_angstrom": [[-1.370, 1.849, 4.082], [1.370, -1.849, 4.082], [1.370, 1.849, -4.082]],
  "species": ["Mn", "Rh", "Rh"],
  "frac_coords": [[0.000, 0.000, 0.000], [0.337, 0.337, 0.000], [0.663, 0.663, 0.000]],
  "density_g_cm3": 10.5
}


<B>
{
  "formula": "MnRh2",
  "functional": "PBE",
  "state": "optimized geometry",
  "lattice_angstrom": [[5.102, 0.000, 0.000], [-2.551, 4.419, 0.000], [0.000, 0.000, 8.330]],
  "species": ["Mn", "Mn", "Mn", "Mn", "Rh", "Rh", "Rh", "Rh", "Rh", "Rh", "Rh", "Rh"],
  "frac_coords": [[0.333, 0.667, 0.069], [0.333, 0.667, 0.431], [0.667, 0.333, 0.569], [0.667, 0.333, 0.931], [0.000, 0.000, 0.000], [0.000, 0.000, 0.500], [0.171, 0.342, 0.750], [0.171, 0.829, 0.750], [0.342, 0.171, 0.250], [0.658, 0.829, 0.750], [0.829, 0.171, 0.250], [0.829, 0.658, 0.250]],
  "density_g_cm3": 9.2
}


<C>
{
  "formula": "MnRh2",
  "functional": "PBE",
  "state": "optimized geometry",
  "lattice_angstrom": [[0.000, 3.614, 3.614], [3.614, 0.000, 3.614], [3.614, 3.614, 0.000]],
  "species": ["Mn", "Mn", "Rh", "Rh", "Rh", "Rh"],
  "frac_coords": [[0.125, 0.125, 0.125], [0.875, 0.875, 0.875], [0.000, 0.500, 0.500], [0.500, 0.000, 0.500], [0.500, 0.500, 0.000], [0.500, 0.500, 0.500]],
  "density_g_cm3": 9.2
}


Least stable structure: <C>


<A>
{
  "formula": "MnRh2",
  "functional": "PBE",
  "state": "optimized geometry",
  "lattice_angstrom": [[1.390, -6.920, 0.000], [1.390, 6.920, 0.000], [0.000, 0.000, 4.310]],
  "species": ["Mn", "Mn", "Rh", "Rh", "Rh", "Rh"],
  "frac_coords": [[0.108, 0.892, 0.750], [0.892, 0.108, 0.250], [0.226, 0.774, 0.250], [0.442, 0.558, 0.750], [0.558, 0.442, 0.250], [0.774, 0.226, 0.750]],
  "density_g_cm3": 10.4
}


<B>
{
  "formula": "MnRh2",
  "functional": "PBE",
  "state": "optimized geometry",
  "lattice_angstrom": [[1.348, -6.870, 0.000], [1.348, 6.870, 0.000], [0.000, 0.000, 4.251]],
  "species": ["Mn", "Mn", "Rh", "Rh", "Rh", "Rh"],
  "frac_coords": [[0.223, 0.777, 0.750], [0.777, 0.223, 0.250], [0.121, 0.879, 0.250], [0.439, 0.561, 0.250], [0.561, 0.439, 0.750], [0.879, 0.121, 0.750]],
  "density_g_cm3": 11.0
}


Least stable structure: <B>


<A>
{
  "formula": "MnRh2",
  "functional": "PBE",
  "state": "optimized geometry",
  "lattice_angstrom": [[-1.891, 1.891, 11.598], [1.891, -1.891, 11.598], [1.891, 1.891, -11.598]],
  "species": ["Mn", "Mn", "Mn", "Mn", "Rh", "Rh", "Rh", "Rh", "Rh", "Rh", "Rh", "Rh"],
  "frac_coords": [[0.295, 0.545, 0.750], [0.455, 0.705, 0.750], [0.545, 0.295, 0.250], [0.705, 0.455, 0.250], [0.041, 0.791, 0.250], [0.125, 0.375, 0.750], [0.209, 0.959, 0.250], [0.375, 0.125, 0.250], [0.625, 0.875, 0.750], [0.791, 0.041, 0.750], [0.875, 0.625, 0.250], [0.959, 0.209, 0.750]],
  "density_g_cm3": 10.4
}


<B>
{
  "formula": "MnRh2",
  "functional": "PBE",
  "state": "optimized geometry",
  "lattice_angstrom": [[5.748, 0.000, 0.000], [0.000, 5.748, 0.000], [0.000, 0.000, 5.748]],
  "species": ["Mn", "Mn", "Mn", "Mn", "Rh", "Rh", "Rh", "Rh", "Rh", "Rh", "Rh", "Rh"],
  "frac_coords": [[0.000, 0.000, 0.000], [0.000, 0.500, 0.500], [0.500, 0.000, 0.500], [0.500, 0.500, 0.000], [0.128, 0.628, 0.872], [0.128, 0.872, 0.372], [0.372, 0.128, 0.872], [0.372, 0.372, 0.372], [0.628, 0.628, 0.628], [0.628, 0.872, 0.128], [0.872, 0.128, 0.628], [0.872, 0.372, 0.128]],
  "density_g_cm3": 9.1
}


<C>
{
  "formula": "MnRh2",
  "functional": "PBE",
  "state": "optimized geometry",
  "lattice_angstrom": [[4.274, 0.000, 0.000], [-2.137, 3.702, 0.000], [0.000, 0.000, 5.292]],
  "species": ["Mn", "Mn", "Rh", "Rh", "Rh", "Rh"],
  "frac_coords": [[0.333, 0.667, 0.250], [0.667, 0.333, 0.750], [0.000, 0.000, 0.000], [0.000, 0.000, 0.500], [0.333, 0.667, 0.750], [0.667, 0.333, 0.250]],
  "density_g_cm3": 10.3
}


<D>
{
  "formula": "MnRh2",
  "functional": "PBE",
  "state": "optimized geometry",
  "lattice_angstrom": [[0.000, 2.847, 2.847], [2.847, 0.000, 2.847], [2.847, 2.847, 0.000]],
  "species": ["Mn", "Rh", "Rh"],
  "frac_coords": [[0.000, 0.000, 0.000], [0.250, 0.250, 0.250], [0.750, 0.750, 0.750]],
  "density_g_cm3": 9.4
}


Least stable structure: <B>


<A>
{
  "formula": "Mn5Rh4",
  "functional": "PBE",
  "state": "optimized geometry",
  "lattice_angstrom": [[-4.059, 4.059, 1.860], [4.059, -4.059, 1.860], [4.059, 4.059, -1.860]],
  "species": ["Mn", "Mn", "Mn", "Mn", "Mn", "Rh", "Rh", "Rh", "Rh"],
  "frac_coords": [[0.000, 0.000, 0.000], [0.336, 0.336, 0.672], [0.336, 0.664, 0.000], [0.664, 0.336, 0.000], [0.664, 0.664, 0.328], [0.000, 0.325, 0.325], [0.000, 0.675, 0.675], [0.325, 0.000, 0.325], [0.675, 0.000, 0.675]],
  "density_g_cm3": 9.3
}


<B>
{
  "formula": "Mn5Rh4",
  "functional": "PBE",
  "state": "optimized geometry",
  "lattice_angstrom": [[7.537, 0.000, 0.000], [-3.769, 6.528, 0.000], [0.000, 0.000, 5.267]],
  "species": ["Mn", "Mn", "Mn", "Mn", "Mn", "Mn", "Mn", "Mn", "Mn", "Mn", "Rh", "Rh", "Rh", "Rh", "Rh", "Rh", "Rh", "Rh"],
  "frac_coords": [[0.000, 0.300, 0.250], [0.000, 0.700, 0.750], [0.300, 0.000, 0.250], [0.300, 0.300, 0.750], [0.333, 0.667, 0.000], [0.333, 0.667, 0.500], [0.667, 0.333, 0.000], [0.667, 0.333, 0.500], [0.700, 0.000, 0.750], [0.700, 0.700, 0.250], [0.000, 0.000, 0.000], [0.000, 0.000, 0.500], [0.000, 0.366, 0.750], [0.000, 0.634, 0.250], [0.366, 0.000, 0.750], [0.366, 0.366, 0.250], [0.634, 0.000, 0.250], [0.634, 0.634, 0.750]],
  "density_g_cm3": 8.8
}


Least stable structure: <B>


<A>
{
  "formula": "MnRuRh4",
  "functional": "PBE",
  "state": "optimized geometry",
  "lattice_angstrom": [[0.000, 3.587, 3.587], [3.587, 0.000, 3.587], [3.587, 3.587, 0.000]],
  "species": ["Mn", "Ru", "Rh", "Rh", "Rh", "Rh"],
  "frac_coords": [[0.000, 0.000, 0.000], [0.750, 0.750, 0.750], [0.375, 0.375, 0.375], [0.375, 0.375, 0.875], [0.375, 0.875, 0.375], [0.875, 0.375, 0.375]],
  "density_g_cm3": 10.2
}


<B>
{
  "formula": "MnRuRh4",
  "functional": "PBE",
  "state": "optimized geometry",
  "lattice_angstrom": [[2.731, 0.000, 0.000], [0.000, 2.731, 0.000], [0.000, 0.000, 11.209]],
  "species": ["Mn", "Ru", "Rh", "Rh", "Rh", "Rh"],
  "frac_coords": [[0.000, 0.000, 0.000], [0.500, 0.500, 0.500], [0.000, 0.000, 0.334], [0.000, 0.000, 0.666], [0.500, 0.500, 0.156], [0.500, 0.500, 0.844]],
  "density_g_cm3": 11.3
}


Least stable structure: <A>